1.
Tb3SmEr2P6 | GGA-PBE | relaxed

Structure (POSCAR):
```
Tb3SmEr2P6
1.0
3.483 -6.033 0.000
3.483 6.033 0.000
-2.321 0.000 6.569
Tb Sm Er P
3 1 2 6
Direct
0.000 0.000 0.000 Tb
0.334 0.666 0.000 Tb
0.666 0.334 0.000 Tb
0.500 0.500 0.500 Sm
0.167 0.833 0.500 Er
0.833 0.167 0.500 Er
0.079 0.417 0.251 P
0.245 0.245 0.749 P
0.417 0.079 0.251 P
0.583 0.921 0.749 P
0.755 0.755 0.251 P
0.921 0.583 0.749 P
```

## Properties
The formation energy comes out at -1601 meV per atom. The crystal system is monoclinic. The calculation puts the spin magnetization at 0.000 μB per formula unit. The value obtained for the total energy is -79.41 eV/f.u.

***

2.
Sm3ErTh2P6 | GGA-PBE | relaxed

Structure (POSCAR):
```
Sm3ErTh2P6
1.0
8.938 -2.053 0.000
8.938 2.053 0.000
-1.891 0.000 7.970
Sm Er Th P
3 1 2 6
Direct
0.000 0.000 0.000 Sm
0.334 0.334 0.666 Sm
0.666 0.666 0.334 Sm
0.000 0.000 0.500 Er
0.335 0.335 0.170 Th
0.665 0.665 0.830 Th
0.164 0.164 0.581 P
0.167 0.167 0.083 P
0.500 0.500 0.256 P
0.500 0.500 0.744 P
0.833 0.833 0.917 P
0.836 0.836 0.419 P
```

## Properties
The formation energy comes out at -1586 meV per atom. The crystal system is monoclinic. The calculation puts the spin magnetization at 0.000 μB per formula unit. The value obtained for the total energy is -85.05 eV/f.u.

***

3.
Sm2ErThP4 | GGA-PBE | relaxed

Structure (POSCAR):
```
Sm2ErThP4
1.0
7.059 0.000 0.000
0.000 4.090 0.000
-2.358 0.000 6.678
Sm Er Th P
2 1 1 4
Direct
0.000 0.000 0.000 Sm
0.500 0.500 0.000 Sm
0.000 0.500 0.500 Er
0.500 0.000 0.500 Th
0.245 0.000 0.744 P
0.247 0.500 0.253 P
0.753 0.500 0.747 P
0.755 0.000 0.256 P
```

## Properties
The formation energy comes out at -1594 meV per atom. The crystal system is monoclinic. The calculation puts the spin magnetization at 0.000 μB per formula unit. The value obtained for the total energy is -55.81 eV/f.u.

***

4.
SmEr2Th3P6 | GGA-PBE | relaxed

Structure (POSCAR):
```
SmEr2Th3P6
1.0
3.547 -6.135 0.000
3.547 6.135 0.000
-2.364 0.000 6.622
Sm Er Th P
1 2 3 6
Direct
0.000 0.000 0.000 Sm
0.333 0.667 0.000 Er
0.667 0.333 0.000 Er
0.166 0.834 0.500 Th
0.500 0.500 0.500 Th
0.834 0.166 0.500 Th
0.081 0.419 0.244 P
0.257 0.257 0.757 P
0.419 0.081 0.244 P
0.581 0.919 0.756 P
0.743 0.743 0.243 P
0.919 0.581 0.756 P
```

## Properties
The formation energy comes out at -1576 meV per atom. The crystal system is monoclinic. The calculation puts the spin magnetization at 0.000 μB per formula unit. The value obtained for the total energy is -87.48 eV/f.u.

***

5.
SmEr2TmP4 | GGA-PBE | relaxed

Structure (POSCAR):
```
SmEr2TmP4
1.0
6.925 0.000 0.000
0.000 4.001 0.000
-2.308 0.000 6.530
Sm Er Tm P
1 2 1 4
Direct
0.000 0.000 0.000 Sm
0.000 0.500 0.500 Er
0.500 0.000 0.500 Er
0.500 0.500 0.000 Tm
0.254 0.000 0.748 P
0.256 0.500 0.255 P
0.744 0.500 0.745 P
0.746 0.000 0.252 P
```

## Properties
The formation energy comes out at -1593 meV per atom. The crystal system is monoclinic. The calculation puts the spin magnetization at 0.000 μB per formula unit. The value obtained for the total energy is -52.70 eV/f.u.

***

6.
SmErTm2P4 | GGA-PBE | relaxed

Structure (POSCAR):
```
SmErTm2P4
1.0
6.916 0.000 0.000
0.000 3.996 0.000
-2.306 0.000 6.521
Sm Er Tm P
1 1 2 4
Direct
0.000 0.000 0.000 Sm
0.000 0.500 0.500 Er
0.500 0.000 0.500 Tm
0.500 0.500 0.000 Tm
0.254 0.000 0.748 P
0.257 0.500 0.256 P
0.743 0.500 0.744 P
0.746 0.000 0.252 P
```

## Properties
The formation energy comes out at -1592 meV per atom. The crystal system is monoclinic. The calculation puts the spin magnetization at 0.000 μB per formula unit. The value obtained for the total energy is -52.60 eV/f.u.

***

7.
SmEr2UP4 | GGA-PBE | relaxed

Structure (POSCAR):
```
SmEr2UP4
1.0
6.897 0.000 0.000
0.000 3.980 0.000
-2.280 0.000 6.532
Sm Er U P
1 2 1 4
Direct
0.000 0.000 0.000 Sm
0.500 0.000 0.500 Er
0.500 0.500 0.000 Er
0.000 0.500 0.500 U
0.250 0.000 0.744 P
0.252 0.500 0.260 P
0.748 0.500 0.740 P
0.750 0.000 0.256 P
```

## Properties
The formation energy comes out at -1433 meV per atom. The crystal system is monoclinic. The calculation puts the spin magnetization at 2.100 μB per formula unit. The value obtained for the total energy is -58.24 eV/f.u.

***

8.
Sm2ErUP4 | GGA-PBE | relaxed

Structure (POSCAR):
```
Sm2ErUP4
1.0
6.954 0.000 0.000
0.000 4.011 0.000
-2.295 0.000 6.592
Sm Er U P
2 1 1 4
Direct
0.000 0.000 0.000 Sm
0.500 0.500 0.000 Sm
0.000 0.500 0.500 Er
0.500 0.000 0.500 U
0.251 0.000 0.737 P
0.257 0.500 0.263 P
0.743 0.500 0.737 P
0.749 0.000 0.263 P
```

## Properties
The formation energy comes out at -1431 meV per atom. The crystal system is monoclinic. The calculation puts the spin magnetization at 2.029 μB per formula unit. The value obtained for the total energy is -58.38 eV/f.u.

***

9.
SmY2ErP4 | GGA-PBE | relaxed

Structure (POSCAR):
```
SmY2ErP4
1.0
6.973 0.000 0.000
0.000 4.028 0.000
-2.324 0.000 6.575
Sm Y Er P
1 2 1 4
Direct
0.000 0.000 0.000 Sm
0.000 0.500 0.500 Y
0.500 0.000 0.500 Y
0.500 0.500 0.000 Er
0.254 0.000 0.750 P
0.255 0.500 0.253 P
0.745 0.500 0.747 P
0.746 0.000 0.250 P
```

## Properties
The formation energy comes out at -1606 meV per atom. The crystal system is monoclinic. The calculation puts the spin magnetization at 0.000 μB per formula unit. The value obtained for the total energy is -56.69 eV/f.u.

***

10.
SmEr2ZrP4 | GGA-PBE | relaxed

Structure (POSCAR):
```
SmEr2ZrP4
1.0
6.810 0.000 0.000
0.000 3.935 0.000
-2.252 0.000 6.444
Sm Er Zr P
1 2 1 4
Direct
0.000 0.000 0.000 Sm
0.500 0.000 0.500 Er
0.500 0.500 0.000 Er
0.000 0.500 0.500 Zr
0.244 0.000 0.738 P
0.251 0.500 0.261 P
0.749 0.500 0.739 P
0.756 0.000 0.262 P
```

## Properties
The formation energy comes out at -1525 meV per atom. The crystal system is monoclinic. The calculation puts the spin magnetization at 0.000 μB per formula unit. The value obtained for the total energy is -56.23 eV/f.u.

***

11.
Er2SnP | GGA-PBE | relaxed

Structure (POSCAR):
```
Er2SnP
1.0
1.894 1.093 9.324
-1.894 1.093 9.324
0.000 -2.187 9.324
Er Sn P
2 1 1
Direct
0.110 0.110 0.110 Er
0.890 0.890 0.890 Er
0.000 0.000 0.000 Sn
0.500 0.500 0.500 P
```

## Properties
The formation energy comes out at -688 meV per atom. The crystal system is trigonal. The calculation puts the spin magnetization at 0.000 μB per formula unit. The value obtained for the total energy is -21.29 eV/f.u.

***

12.
ErSnP2 | GGA-PBE | relaxed

Structure (POSCAR):
```
ErSnP2
1.0
1.964 1.134 6.702
-1.964 1.134 6.702
0.000 -2.268 6.702
Er Sn P
1 1 2
Direct
0.000 0.000 0.000 Er
0.500 0.500 0.500 Sn
0.251 0.251 0.251 P
0.749 0.749 0.749 P
```

## Properties
The formation energy comes out at -629 meV per atom. The crystal system is trigonal. The calculation puts the spin magnetization at 0.000 μB per formula unit. The value obtained for the total energy is -21.90 eV/f.u.

***

13.
Er8Sn3Te4P | GGA-PBE | relaxed

Structure (POSCAR):
```
Er8Sn3Te4P
1.0
4.301 2.483 7.080
-4.301 2.483 7.080
0.000 -4.967 7.080
Er Sn Te P
8 3 4 1
Direct
0.246 0.246 0.246 Er
0.253 0.736 0.736 Er
0.264 0.264 0.747 Er
0.264 0.747 0.264 Er
0.736 0.253 0.736 Er
0.736 0.736 0.253 Er
0.747 0.264 0.264 Er
0.754 0.754 0.754 Er
0.000 0.000 0.500 Sn
0.000 0.500 0.000 Sn
0.500 0.000 0.000 Sn
0.000 0.000 0.000 Te
0.000 0.500 0.500 Te
0.500 0.000 0.500 Te
0.500 0.500 0.000 Te
0.500 0.500 0.500 P
```

## Properties
The crystal system is trigonal. The energy relative to the elements, uncorrected is -1.1130 eV/atom. The calculation puts the spin magnetization at 0.000 μB per formula unit. The value obtained for the total energy is -84.30 eV/f.u.

***

14.
SrErP | GGA-PBE | relaxed

Structure (POSCAR):
```
SrErP
1.0
5.125 0.000 0.000
0.000 5.125 0.000
0.000 0.000 7.595
Sr Er P
2 2 2
Direct
0.250 0.250 0.168 Sr
0.750 0.750 0.832 Sr
0.250 0.250 0.622 Er
0.750 0.750 0.378 Er
0.250 0.750 0.500 P
0.750 0.250 0.500 P
```

## Properties
The formation energy comes out at -764 meV per atom. The crystal system is tetragonal. The calculation puts the spin magnetization at 0.000 μB per formula unit. The value obtained for the total energy is -13.95 eV/f.u.

***

15.
SrErP2 | GGA-PBE | relaxed

Structure (POSCAR):
```
SrErP2
1.0
2.057 1.188 6.972
-2.057 1.188 6.972
0.000 -2.376 6.972
Sr Er P
1 1 2
Direct
0.000 0.000 0.000 Sr
0.500 0.500 0.500 Er
0.240 0.240 0.240 P
0.760 0.760 0.760 P
```

## Properties
The formation energy comes out at -1152 meV per atom. The crystal system is trigonal. The calculation puts the spin magnetization at 0.000 μB per formula unit. The value obtained for the total energy is -21.67 eV/f.u.

***

16.
SrEr2P | GGA-PBE | relaxed

Structure (POSCAR):
```
SrEr2P
1.0
1.929 1.113 10.295
-1.929 1.113 10.295
0.000 -2.227 10.295
Sr Er P
1 2 1
Direct
0.000 0.000 0.000 Sr
0.117 0.117 0.117 Er
0.883 0.883 0.883 Er
0.500 0.500 0.500 P
```

## Properties
The formation energy comes out at -569 meV per atom. The crystal system is trigonal. The calculation puts the spin magnetization at 0.000 μB per formula unit. The value obtained for the total energy is -18.49 eV/f.u.

***

17.
Sr3ErU2P6 | GGA-PBE | relaxed

Structure (POSCAR):
```
Sr3ErU2P6
1.0
3.564 -6.172 0.000
3.564 6.172 0.000
-2.375 0.000 6.921
Sr Er U P
3 1 2 6
Direct
0.000 0.000 0.000 Sr
0.335 0.665 0.000 Sr
0.665 0.335 0.000 Sr
0.500 0.500 0.500 Er
0.167 0.833 0.500 U
0.833 0.167 0.500 U
0.087 0.429 0.287 P
0.229 0.229 0.713 P
0.429 0.087 0.287 P
0.571 0.913 0.713 P
0.771 0.771 0.287 P
0.913 0.571 0.713 P
```

## Properties
The formation energy comes out at -1138 meV per atom. The crystal system is monoclinic. The calculation puts the spin magnetization at 2.993 μB per formula unit. The value obtained for the total energy is -78.31 eV/f.u.

***

18.
ErTaP | GGA-PBE | relaxed

Structure (POSCAR):
```
ErTaP
1.0
2.002 1.156 9.629
-2.002 1.156 9.629
0.000 -2.312 9.629
Er Ta P
2 2 2
Direct
0.116 0.116 0.116 Er
0.884 0.884 0.884 Er
0.304 0.304 0.304 Ta
0.696 0.696 0.696 Ta
0.394 0.394 0.394 P
0.606 0.606 0.606 P
```

## Properties
The formation energy comes out at -640 meV per atom. The crystal system is trigonal. The calculation puts the spin magnetization at 0.000 μB per formula unit. The value obtained for the total energy is -23.75 eV/f.u.

***

19.
Tb5Er3P8 | GGA-PBE | relaxed

Structure (POSCAR):
```
Tb5Er3P8
1.0
4.005 2.312 6.540
-4.005 2.312 6.540
0.000 -4.625 6.540
Tb Er P
5 3 8
Direct
0.000 0.000 0.000 Tb
0.000 0.500 0.500 Tb
0.500 0.000 0.500 Tb
0.500 0.500 0.000 Tb
0.500 0.500 0.500 Tb
0.000 0.000 0.500 Er
0.000 0.500 0.000 Er
0.500 0.000 0.000 Er
0.248 0.750 0.750 P
0.249 0.249 0.249 P
0.250 0.250 0.752 P
0.250 0.752 0.250 P
0.750 0.248 0.750 P
0.750 0.750 0.248 P
0.751 0.751 0.751 P
0.752 0.250 0.250 P
```

## Properties
The formation energy comes out at -1611 meV per atom. The crystal system is trigonal. The calculation puts the spin magnetization at 0.000 μB per formula unit. The value obtained for the total energy is -105.90 eV/f.u.

***

20.
TbEr2P | GGA-PBE | relaxed

Structure (POSCAR):
```
TbEr2P
1.0
1.851 1.069 10.081
-1.851 1.069 10.081
0.000 -2.137 10.081
Tb Er P
1 2 1
Direct
0.000 0.000 0.000 Tb
0.113 0.113 0.113 Er
0.887 0.887 0.887 Er
0.500 0.500 0.500 P
```

## Properties
The formation energy comes out at -497 meV per atom. The crystal system is trigonal. The calculation puts the spin magnetization at 1.065 μB per formula unit. The value obtained for the total energy is -21.15 eV/f.u.

***

21.
TbEr2P3 | GGA-PBE | relaxed

Structure (POSCAR):
```
TbEr2P3
1.0
7.966 0.000 0.000
0.000 5.638 0.000
0.000 0.000 11.980
Tb Er P
4 8 12
Direct
0.126 0.250 0.083 Tb
0.374 0.750 0.583 Tb
0.626 0.250 0.417 Tb
0.874 0.750 0.917 Tb
0.124 0.250 0.416 Er
0.125 0.250 0.751 Er
0.375 0.750 0.251 Er
0.376 0.750 0.916 Er
0.624 0.250 0.084 Er
0.625 0.250 0.749 Er
0.875 0.750 0.249 Er
0.876 0.750 0.584 Er
0.123 0.750 0.416 P
0.125 0.750 0.750 P
0.127 0.750 0.084 P
0.373 0.250 0.584 P
0.375 0.250 0.250 P
0.377 0.250 0.916 P
0.623 0.750 0.084 P
0.625 0.750 0.750 P
0.627 0.750 0.416 P
0.873 0.250 0.916 P
0.875 0.250 0.250 P
0.877 0.250 0.584 P
```

## Properties
The formation energy comes out at -1612 meV per atom. The crystal system is orthorhombic. The calculation puts the spin magnetization at 0.000 μB per formula unit. The value obtained for the total energy is -39.65 eV/f.u.

***

22.
TbEr3P4 | GGA-PBE | relaxed

Structure (POSCAR):
```
TbEr3P4
1.0
3.983 -5.632 0.000
3.983 5.632 0.000
0.000 0.000 3.985
Tb Er P
1 3 4
Direct
0.000 0.000 0.000 Tb
0.000 0.500 0.500 Er
0.500 0.000 0.500 Er
0.500 0.500 0.000 Er
0.251 0.749 0.000 P
0.252 0.252 0.500 P
0.748 0.748 0.500 P
0.749 0.251 0.000 P
```

## Properties
The formation energy comes out at -1612 meV per atom. The crystal system is orthorhombic. The calculation puts the spin magnetization at 0.000 μB per formula unit. The value obtained for the total energy is -52.85 eV/f.u.

***

23.
Tb5ErP6 | GGA-PBE | relaxed

Structure (POSCAR):
```
Tb5ErP6
1.0
3.481 -6.028 0.000
3.481 6.028 0.000
-2.321 0.000 6.562
Tb Er P
5 1 6
Direct
0.000 0.000 0.000 Tb
0.167 0.833 0.500 Tb
0.333 0.667 0.000 Tb
0.667 0.333 0.000 Tb
0.833 0.167 0.500 Tb
0.500 0.500 0.500 Er
0.086 0.417 0.251 P
0.252 0.252 0.749 P
0.417 0.086 0.251 P
0.583 0.914 0.749 P
0.748 0.748 0.251 P
0.914 0.583 0.749 P
```

## Properties
The formation energy comes out at -1612 meV per atom. The crystal system is monoclinic. The calculation puts the spin magnetization at 0.000 μB per formula unit. The value obtained for the total energy is -79.52 eV/f.u.